Record 1
The following is a PBE-GGA calculation of a geometry-optimized Tm4Zn2Cu structure, from the Alexandria database.

Values from the calculation:
N(E_F)   5.4 states/eV/cell
Size of the total moment   0.00 μB/atom
Total energy   -3.69 eV per atom
Formation energy from the elements   -0.18 eV/atom

Cell: 5.9935 5.9935 5.9935 Å, 109.10 109.66 109.66°
Element x y z (fractional)
1 Tm 0.0000 0.0000 0.5000
2 Tm 0.5000 0.5000 0.5000
3 Tm 0.0000 0.5000 0.0000
4 Tm 0.5000 0.0000 0.0000
5 Zn 0.5000 0.5000 0.0000
6 Zn 0.5000 0.0000 0.5000
7 Cu 0.0000 0.0000 0.0000


Record 2
The following is a PBE-GGA calculation of a geometry-optimized LiTaRu2 structure, from the Alexandria database.

Values from the calculation:
N(E_F)   3.1 states/eV/cell
Excess energy over the best structure of this formula in the dataset   191.9 meV/atom
Size of the total moment   0.00 μB/atom
Total energy   -8.09 eV per atom
Formation energy from the elements   -0.01 eV/atom

Cell: 4.1075 2.7662 5.1248 Å, 84.92 90.00 90.00°
Element x y z (fractional)
1 Ta 0.5000 0.2500 0.2500
2 Ru 0.0000 0.9862 0.9796
3 Ru 0.0000 0.5138 0.5204
4 Li 0.5000 0.7500 0.7500


Record 3
The following is a PBE-GGA calculation of a geometry-optimized FeMo8 structure, from the Alexandria database.

Values from the calculation:
N(E_F)   5.8 states/eV/cell
Excess energy over the best structure of this formula in the dataset   0.0 meV/atom
Size of the total moment   0.27 μB/atom
Total energy   -10.51 eV per atom
Formation energy from the elements   0.05 eV/atom

Cell: 3.1601 6.8255 6.8255 Å, 86.93 76.62 76.62°
Last column: magnetic moment on the atom in μB.
Element x y z (fractional)
1 Fe 0.0000 0.0000 0.0000  2.33
2 Mo 0.3305 0.6695 0.6695  -0.02
3 Mo 0.0000 0.6695 0.3305  -0.02
4 Mo 0.6646 0.6708 0.0000  0.05
5 Mo 0.6646 0.0000 0.6708  0.05
6 Mo 0.0000 0.3305 0.6695  -0.02
7 Mo 0.6695 0.3305 0.3305  -0.02
8 Mo 0.3354 0.0000 0.3292  0.05
9 Mo 0.3354 0.3292 0.0000  0.05


Record 4
The following is a PBE-GGA calculation of a geometry-optimized Dy2Si4AgPt3 structure, from the Alexandria database.

Values from the calculation:
N(E_F)   3.8 states/eV/cell
Size of the total moment   0.00 μB/atom
Total energy   -6.11 eV per atom
Formation energy from raw total energies   -0.93 eV per atom

Cell: 4.2074 4.2074 9.9851 Å, 90.00 90.00 90.00°
Element x y z (fractional)
1 Pt 0.0000 0.5000 0.1206
2 Pt 0.5000 0.0000 0.8794
3 Pt 0.0000 0.0000 0.5000
4 Si 0.5000 0.5000 0.0000
5 Si 0.5000 0.0000 0.6411
6 Si 0.0000 0.0000 0.0000
7 Si 0.0000 0.5000 0.3589
8 Dy 0.0000 0.5000 0.7544
9 Dy 0.5000 0.0000 0.2456
10 Ag 0.5000 0.5000 0.5000


Record 5
The following is a PBE-GGA calculation of a geometry-optimized Na3Ce3BeSe8 structure, from the Alexandria database.

Values from the calculation:
N(E_F)   13.9 states/eV/cell
Size of the total moment   0.07 μB/atom
Total energy   -4.88 eV per atom
Formation energy from raw total energies   -1.32 eV per atom

Cell: 8.5118 8.2301 8.3757 Å, 118.63 90.00 121.14°
Last column: magnetic moment on the atom in μB.
Element x y z (fractional)
1 Se 0.8087 0.6174 0.3167  -0.02
2 Se 0.7484 0.4969 0.7386  -0.02
3 Se 0.2516 0.5031 0.2614  -0.02
4 Se 0.1913 0.3826 0.6833  -0.02
5 Se 0.2523 0.9831 0.7317  -0.02
6 Se 0.7308 0.9831 0.7317  -0.02
7 Se 0.7477 0.0169 0.2683  -0.02
8 Se 0.2692 0.0169 0.2683  -0.02
9 Be 0.0000 0.0000 0.5000  0.00
10 Na 0.0000 0.0000 0.0000  0.00
11 Na 0.0000 0.5000 0.0000  0.00
12 Na 0.5000 0.5000 0.0000  0.00
13 Ce 0.5000 0.0000 0.5000  0.35
14 Ce 0.0000 0.5000 0.5000  0.47
15 Ce 0.5000 0.5000 0.5000  0.47


Record 6
The following is a PBE-GGA calculation of a geometry-optimized Tc2OsPb structure, from the Alexandria database.

Values from the calculation:
N(E_F)   3.6 states/eV/cell
Size of the total moment   0.00 μB/atom
Total energy   -8.31 eV per atom
Formation energy from the elements   0.60 eV/atom

Cell: 4.9124 4.9124 4.9865 Å, 77.63 77.63 35.17°
Element x y z (fractional)
1 Pb 0.2504 0.2504 0.2331
2 Os 0.4861 0.4861 0.5655
3 Tc 0.7492 0.7492 0.7195
4 Tc 0.0144 0.0144 0.9820